Entry 1:
# LiMnC2O6

A relaxed LiMnC2O6 crystal (GGA+U, Alexandria via LeMat-Bulk).

It has space group R-3 (No. 148, hexagonal axes), with a = 4.7254 Å, b = 4.7254 Å, c = 15.4602 Å, α = 90.00°, β = 90.00° and γ = 120.00°. Symmetry generates all atoms from Li at (0.0000, 0.0000, 0.0000), Mn at (0.0000, 0.0000, 0.5000), C at (0.0000, 0.0000, 0.2462) and O at (0.0042, 0.2758, 0.2463).

The crystal system is trigonal. The energy relative to the lowest polymorph listed for this composition comes out at 0.0156 eV/atom.

Entry 2:
# LiMnC2O6

A relaxed LiMnC2O6 crystal (GGA+U, Alexandria via LeMat-Bulk).

It has space group Cc (No. 9), with a = 5.488 Å, b = 12.737 Å, c = 7.918 Å, α = 90.00°, β = 101.57° and γ = 90.00°. Symmetry generates all atoms from Li at (0.000, 0.150, 0.000), Mn at (0.109, 0.364, 0.817), C at (0.015, 0.434, 0.522), C at (0.331, 0.319, 0.107), O at (0.089, 0.308, 0.063), O at (0.241, 0.411, 0.613), O at (0.338, 0.102, 0.093), O at (0.432, 0.351, 0.980), O at (0.457, 0.299, 0.257) and O at (0.485, 0.015, 0.884).

The crystal system is monoclinic. The energy relative to the lowest polymorph listed for this composition comes out at 0.0400 eV/atom.

Entry 3:
# LiMnC2O6

A relaxed LiMnC2O6 crystal (GGA+U, Alexandria via LeMat-Bulk).

It has space group P-1 (No. 2), with a = 4.762 Å, b = 5.738 Å, c = 7.496 Å, α = 73.46°, β = 89.40° and γ = 89.89°. Symmetry generates all atoms from Li at (0.000, 0.000, 0.000), Li at (0.500, 0.500, 0.500), Mn at (0.000, 0.000, 0.500), Mn at (0.500, 0.500, 0.000), C at (0.005, 0.487, 0.249), C at (0.483, 0.990, 0.743), O at (0.137, 0.337, 0.387), O at (0.156, 0.620, 0.111), O at (0.209, 0.982, 0.739), O at (0.261, 0.491, 0.751), O at (0.373, 0.864, 0.383) and O at (0.390, 0.156, 0.113).

The crystal system is triclinic. The energy relative to the lowest polymorph listed for this composition comes out at 0.0000 eV/atom.

Entry 4:
# LiMnC2O6

A relaxed LiMnC2O6 crystal (GGA+U, Alexandria via LeMat-Bulk).

It has space group P2_1 (No. 4), with a = 4.908 Å, b = 7.915 Å, c = 6.628 Å, α = 90.00°, β = 105.80° and γ = 90.00°. Symmetry generates all atoms from Li at (0.165, 0.000, 0.146), Mn at (0.497, 0.048, 0.739), C at (0.342, 0.300, 0.889), C at (0.362, 0.286, 0.376), O at (0.216, 0.424, 0.371), O at (0.222, 0.150, 0.886), O at (0.241, 0.434, 0.942), O at (0.282, 0.140, 0.418), O at (0.398, 0.809, 0.673) and O at (0.425, 0.796, 0.173).

The crystal system is monoclinic. The energy relative to the lowest polymorph listed for this composition comes out at 0.0397 eV/atom.

Entry 5:
# LiMnC2O6

A relaxed LiMnC2O6 crystal (GGA+U, Alexandria via LeMat-Bulk).

It has space group P2_1/c (No. 14), with a = 7.795 Å, b = 9.881 Å, c = 9.109 Å, α = 90.00°, β = 124.17° and γ = 90.00°. Symmetry generates all atoms from Li at (0.161, 0.115, 0.165), Mn at (0.042, 0.125, 0.454), C at (0.034, 0.113, 0.779), C at (0.395, 0.504, 0.158), O at (0.013, 0.015, 0.253), O at (0.033, 0.167, 0.907), O at (0.079, 0.186, 0.687), O at (0.247, 0.582, 0.138), O at (0.337, 0.115, 0.575) and O at (0.420, 0.037, 0.252).

The crystal system is monoclinic. The energy relative to the lowest polymorph listed for this composition comes out at 0.0415 eV/atom.

Entry 6:
# LiMnC2O

A relaxed LiMnC2O crystal (GGA+U, Alexandria via LeMat-Bulk).

It has space group P4/mmm (No. 123), with a = 3.966 Å, b = 3.966 Å, c = 3.707 Å, α = 90.00°, β = 90.00° and γ = 90.00°. Symmetry generates all atoms from Li at (0.000, 0.000, 0.000), Mn at (0.500, 0.500, 0.000), C at (0.000, 0.500, 0.500) and O at (0.500, 0.500, 0.500).

For the total energy, the calculation gives -4.918 eV/atom. The crystal system is tetragonal.

Entry 7:
# Li3MnPCO7

A relaxed Li3MnPCO7 crystal (GGA+U, Alexandria via LeMat-Bulk).

It has space group Pmn2_1 (No. 31), with a = 6.548 Å, b = 8.712 Å, c = 5.023 Å, α = 90.00°, β = 90.00° and γ = 90.00°. Symmetry generates all atoms from Li at (0.000, 0.066, 0.000), Li at (0.223, 0.276, 0.607), Mn at (0.000, 0.647, 0.600), P at (0.000, 0.415, 0.112), C at (0.000, 0.971, 0.541), O at (0.000, 0.118, 0.591), O at (0.000, 0.416, 0.422), O at (0.000, 0.588, 0.019), O at (0.000, 0.879, 0.747), O at (0.000, 0.919, 0.302) and O at (0.188, 0.328, 0.001).

The crystal system is orthorhombic. The energy relative to the lowest polymorph listed for this composition comes out at 0.0194 eV/atom.

Entry 8:
# Li3MnPCO7

A relaxed Li3MnPCO7 crystal (GGA+U, Alexandria via LeMat-Bulk).

It has space group P2_1/m (No. 11), with a = 5.027 Å, b = 6.556 Å, c = 8.638 Å, α = 90.00°, β = 96.88° and γ = 90.00°. Symmetry generates all atoms from Li at (0.193, 0.250, 0.104), Li at (0.273, 0.521, 0.732), Mn at (0.220, 0.750, 0.340), P at (0.259, 0.250, 0.406), C at (0.339, 0.750, 0.039), O at (0.091, 0.750, 0.062), O at (0.148, 0.065, 0.305), O at (0.172, 0.250, 0.571), O at (0.411, 0.750, 0.900), O at (0.427, 0.750, 0.578) and O at (0.479, 0.250, 0.838).

The crystal system is monoclinic. The energy relative to the lowest polymorph listed for this composition comes out at 0.0086 eV/atom.

Copy entry 4 word for word.
# LiMnC2O6

A relaxed LiMnC2O6 crystal (GGA+U, Alexandria via LeMat-Bulk).

It has space group P2_1 (No. 4), with a = 4.908 Å, b = 7.915 Å, c = 6.628 Å, α = 90.00°, β = 105.80° and γ = 90.00°. Symmetry generates all atoms from Li at (0.165, 0.000, 0.146), Mn at (0.497, 0.048, 0.739), C at (0.342, 0.300, 0.889), C at (0.362, 0.286, 0.376), O at (0.216, 0.424, 0.371), O at (0.222, 0.150, 0.886), O at (0.241, 0.434, 0.942), O at (0.282, 0.140, 0.418), O at (0.398, 0.809, 0.673) and O at (0.425, 0.796, 0.173).

The crystal system is monoclinic. The energy relative to the lowest polymorph listed for this composition comes out at 0.0397 eV/atom.

What did the sixth record say?
# LiMnC2O

A relaxed LiMnC2O crystal (GGA+U, Alexandria via LeMat-Bulk).

It has space group P4/mmm (No. 123), with a = 3.966 Å, b = 3.966 Å, c = 3.707 Å, α = 90.00°, β = 90.00° and γ = 90.00°. Symmetry generates all atoms from Li at (0.000, 0.000, 0.000), Mn at (0.500, 0.500, 0.000), C at (0.000, 0.500, 0.500) and O at (0.500, 0.500, 0.500).

For the total energy, the calculation gives -4.918 eV/atom. The crystal system is tetragonal.